The following is a PBE calculation of crystalline Ta2TcCl at its relaxed geometry, from Alexandria.

Relative energy among the computed polymorphs ... 0.1150 eV/atom
Formation energy (no corrections) ... 0.0 eV per formula unit
DFT total energy ... -107.9 eV for the cell shown
ρ ... 10.71 g/cm³

abc: 3.1014 3.1014 27.6477
angles: 90.00 90.00 120.00
Last column: nearest neighbours and their distance in Å.
Space group R3m (No. 160, hexagonal axes)
Symmetry-distinct sites (fractional):
Ta  0.0000  0.0000  0.0000 (multiplicity 3)  3 Tc 2.56
Ta  0.0000  0.0000  0.2450 (multiplicity 3)  3 Cl 2.52
Tc  0.0000  0.0000  0.7326 (multiplicity 3)  3 Ta 2.56
Cl  0.0000  0.0000  0.5144 (multiplicity 3)  3 Ta 2.52